Crystalline Sr2AsP at its relaxed geometry, computed with GGA-PBE.

E: -15.4 eV/f.u.
Energy above the most stable polymorph in this dataset: 177.9 kJ/mol of formula units
E_form: -496 meV per atom
Total moment: 0.099 μB per atom

Cell lengths 4.4728, 4.4728, 23.2883 Å; angles 90.00, 90.00, 120.00 degrees
Space group R3m (No. 160, hexagonal axes)
Symmetry-distinct sites (fractional):
Sr (0.0000, 0.0000, 0.0000) x3
Sr (0.0000, 0.0000, 0.1708) x3
As (0.0000, 0.0000, 0.4152) x3
P (0.0000, 0.0000, 0.7569) x3



Crystalline Th4Sb2H at its relaxed geometry, computed with GGA-PBE.

E: -45.4 eV/f.u.
Energy above the most stable polymorph in this dataset: 7.2 kJ/mol of formula units
Total moment: 0.000 μB per atom

Cell lengths 7.5990, 6.4985, 8.0932 Å; angles 90.00, 105.36, 90.00 degrees
Space group P2_1/m (No. 11)
Symmetry-distinct sites (fractional):
Th (0.0078, 0.0031, 0.2530) x4
Th (0.3838, 0.2500, 0.0943) x2
Th (0.3911, 0.2500, 0.6007) x2
Sb (0.2736, 0.7500, 0.0645) x2
Sb (0.2777, 0.7500, 0.5730) x2
H (0.2280, 0.2500, 0.8061) x2



Crystalline TaGeTePt at its relaxed geometry, computed with GGA-PBE.

E: -26.6 eV/f.u.
Energy above the most stable polymorph in this dataset: 0.0 kJ/mol of formula units
Energy relative to the elements, uncorrected: -0.234 eV per atom
Total moment: 0.053 μB per atom

Cell lengths 3.4453, 3.6818, 13.0133 Å; angles 90.00, 90.00, 90.00 degrees
Space group Amm2 (No. 38)
Symmetry-distinct sites (fractional):
Ta (0.0000, 0.0000, 0.0000) x2
Ge (0.0000, 0.0000, 0.3504) x2
Te (0.5000, 0.0000, 0.6086) x2
Pt (0.5000, 0.0000, 0.8214) x2



Crystalline K3Pm2NdS6 at its relaxed geometry, computed with GGA-PBE.

E: -64.6 eV/f.u.
Energy relative to the elements, uncorrected: -1.859 eV per atom
Total moment: 0.000 μB per atom

Cell lengths 7.2335, 12.5279, 7.7793 Å; angles 90.00, 108.05, 90.00 degrees
Space group C2/m (No. 12)
Symmetry-distinct sites (fractional):
K (0.0000, 0.0000, 0.0000) x2
K (0.0000, 0.3333, 0.0000) x4
Pm (0.0000, 0.1667, 0.5000) x4
Nd (0.0000, 0.5000, 0.5000) x2
S (0.2338, 0.0000, 0.7067) x4
S (0.2364, 0.3325, 0.7066) x8



Question: Which of these has the lowest E?
Answer: K3Pm2NdS6



Question: Look up the total moment of the fourth one.
Answer: 0.000 μB per atom